Entry 1:
Entry from Alexandria: a relaxed structure of GaFeNi (GGA-PBE).

Lattice parameters (Å, degrees): 5.1560 3.6558 8.1410 90.00 107.70 90.00
With the nearest neighbours (Å) after each atom.
Element x y z (fractional)
Ni 0.7970 0.0000 0.4649  5 Ga 2.50-2.61, 3 Ni 2.58-2.60, 4 Fe 2.63-2.66
Ni 0.7970 0.5000 0.9649  5 Ga 2.50-2.61, 3 Ni 2.58-2.60, 4 Fe 2.63-2.66
Ni 0.6234 0.0000 0.1296  4 Ga 2.49-2.50, 5 Fe 2.55-2.66, 3 Ni 2.58-2.60
Ni 0.6234 0.5000 0.6296  4 Ga 2.49-2.50, 5 Fe 2.55-2.66, 3 Ni 2.58-2.60
Fe 0.1309 0.0000 0.1450  2 Fe 2.49, 4 Ni 2.58-2.63, 6 Ga 2.60-2.74
Fe 0.1309 0.5000 0.6450  2 Fe 2.49, 4 Ni 2.58-2.63, 6 Ga 2.60-2.74
Fe 0.4353 0.0000 0.8019  2 Fe 2.49, 5 Ga 2.50-2.63, 5 Ni 2.55-2.66
Fe 0.4353 0.5000 0.3019  2 Fe 2.49, 5 Ga 2.50-2.63, 5 Ni 2.55-2.66
Ga 0.9200 0.0000 0.7923  5 Ni 2.49-2.55, 5 Fe 2.52-2.74
Ga 0.9200 0.5000 0.2923  5 Ni 2.49-2.55, 5 Fe 2.52-2.74
Ga 0.3102 0.0000 0.4801  4 Ni 2.50-2.61, 6 Fe 2.50-2.60
Ga 0.3102 0.5000 0.9801  4 Ni 2.50-2.61, 6 Fe 2.50-2.60

Symmetry = Cm (8)
ΔH_f (0 K) = -0.1919 eV/atom


Entry 2:
Entry from Alexandria: a relaxed structure of PbI4 (GGA-PBE).

Lattice parameters (Å, degrees): 6.2386 6.2386 6.2386 90.00 90.00 90.00
With the nearest neighbours (Å) after each atom.
Element x y z (fractional)
Pb 0.5000 0.5000 0.5000  6 I 3.12
I 0.0000 0.0000 0.0000  12 I 4.41
I 0.5000 0.0000 0.5000  2 Pb 3.12
I 0.0000 0.5000 0.5000  2 Pb 3.12
I 0.5000 0.5000 0.0000  2 Pb 3.12

Symmetry = Pm-3m (221)


Entry 3:
Entry from Alexandria: a relaxed structure of Bi2Te4Au (GGA-PBE).

Lattice parameters (Å, degrees): 6.4200 6.4200 7.7951 114.32 114.32 90.00
With the nearest neighbours (Å) after each atom.
Element x y z (fractional)
Bi 0.7500 0.2500 0.5000  4 Te 3.05-3.06
Bi 0.2500 0.7500 0.5000  4 Te 3.05-3.06
Te 0.8676 0.3122 0.1798  1 Au 2.77, 2 Bi 3.05
Te 0.3122 0.8676 0.1798  1 Au 2.77, 2 Bi 3.05
Te 0.6878 0.6878 0.8202  1 Au 2.77, 2 Bi 3.05-3.06
Te 0.1324 0.1324 0.8202  1 Au 2.77, 2 Bi 3.05-3.06
Au 0.5000 0.5000 0.0000  4 Te 2.77

Symmetry = I-42m (121)
Relative energy among the computed polymorphs = 0.00 eV per formula unit


Entry 4:
Entry from Alexandria: a relaxed structure of Zn2TeAs (GGA-PBE).

Lattice parameters (Å, degrees): 6.4313 6.4313 6.4313 145.05 145.05 50.26
With the nearest neighbours (Å) after each atom.
Element x y z (fractional)
As 0.5000 0.5000 0.0000  4 Zn 2.73
Te 0.7500 0.2500 0.5000  4 Zn 2.73
Zn 0.0000 0.0000 0.0000  4 As 2.73
Zn 0.2500 0.7500 0.5000  4 Te 2.73

Symmetry = I-4m2 (119)
Relative energy among the computed polymorphs = 1.57 eV per formula unit


Entry 5:
Entry from Alexandria: a relaxed structure of YHoMg2Hg4 (GGA-PBE).

Lattice parameters (Å, degrees): 5.0643 5.0643 8.7920 73.26 73.26 60.00
With the nearest neighbours (Å) after each atom.
Element x y z (fractional)
Y 0.0000 0.0000 0.0000  8 Hg 3.11-3.12
Ho 0.5000 0.5000 0.5000  8 Hg 3.09-3.10
Mg 0.7500 0.7500 0.7500  8 Hg 3.09-3.13
Mg 0.2500 0.2500 0.2500  8 Hg 3.09-3.13
Hg 0.3760 0.3760 0.8721  1 Ho 3.09, 4 Mg 3.09-3.13, 3 Y 3.11
Hg 0.8747 0.8747 0.3759  3 Ho 3.10, 4 Mg 3.10, 1 Y 3.12
Hg 0.1253 0.1253 0.6241  3 Ho 3.10, 4 Mg 3.10, 1 Y 3.12
Hg 0.6240 0.6240 0.1279  1 Ho 3.09, 4 Mg 3.09-3.13, 3 Y 3.11

Symmetry = R-3m (166)
ΔH_f (0 K) = -0.4611 eV/atom


Entry 6:
Entry from Alexandria: a relaxed structure of Y4CdPd (GGA-PBE).

Lattice parameters (Å, degrees): 6.2093 9.2338 7.7642 115.88 99.48 113.29
With the nearest neighbours (Å) after each atom.
Element x y z (fractional)
Y 0.1014 0.2047 0.8266  2 Pd 3.07-3.17, 2 Cd 3.21-3.28
Y 0.7645 0.7187 0.6492  2 Pd 2.86-2.87, 1 Cd 3.16
Y 0.2252 0.6219 0.8266  2 Pd 3.07-3.17, 2 Cd 3.21-3.28
Y 0.3846 0.9305 0.6492  2 Pd 2.86-2.87, 1 Cd 3.16
Y 0.6154 0.0695 0.3508  2 Pd 2.86-2.87, 1 Cd 3.16
Y 0.7748 0.3781 0.1734  2 Pd 3.07-3.17, 2 Cd 3.21-3.28
Y 0.2355 0.2813 0.3508  2 Pd 2.86-2.87, 1 Cd 3.16
Y 0.8986 0.7953 0.1734  2 Pd 3.07-3.17, 2 Cd 3.21-3.28
Cd 0.3716 0.6216 0.2432  8 Y 3.16-3.42
Cd 0.6284 0.3784 0.7568  8 Y 3.16-3.42
Pd 0.2502 0.0002 0.0003  8 Y 2.86-3.17, 2 Pd 3.10
Pd 0.7498 0.9998 0.9997  8 Y 2.86-3.17, 2 Pd 3.10

Symmetry = C2/c (15)
Relative energy among the computed polymorphs = 0.63 eV per formula unit
ΔH_f (0 K) = -0.3545 eV/atom


Entry 7:
Entry from Alexandria: a relaxed structure of Th8Tc2Sb (GGA-PBE).

Lattice parameters (Å, degrees): 5.6951 8.6395 8.0637 57.61 83.01 76.87
With the nearest neighbours (Å) after each atom.
Element x y z (fractional)
Th 0.9208 0.0879 0.2426  2 Tc 2.88-2.92
Th 0.9208 0.3305 0.7574  2 Tc 2.88-2.92
Th 0.3032 0.3974 0.0000  4 Th 3.16-3.50, 1 Sb 3.36, 2 Tc 3.37
Th 0.5000 0.7514 0.4972  2 Tc 2.90
Th 0.5000 0.2486 0.5028  2 Tc 2.90
Th 0.6968 0.6026 0.0000  4 Th 3.16-3.50, 1 Sb 3.36, 2 Tc 3.37
Th 0.0792 0.6695 0.2426  2 Tc 2.88-2.92
Th 0.0792 0.9121 0.7574  2 Tc 2.88-2.92
Tc 0.0000 0.2886 0.4227  6 Th 2.88-2.92
Tc 0.0000 0.7114 0.5773  6 Th 2.88-2.92
Sb 0.5000 0.0000 0.0000  12 Th 3.36-3.76

Symmetry = C2/m (12)


Entry 8:
Entry from Alexandria: a relaxed structure of LiSiP2Cl (GGA-PBE).

Lattice parameters (Å, degrees): 4.3781 4.3781 6.0492 90.00 90.00 90.00
With the nearest neighbours (Å) after each atom.
Element x y z (fractional)
P 0.0000 0.5000 0.0000  2 Si 2.19
P 0.5000 0.0000 0.0000  2 Si 2.19
Si 0.0000 0.0000 0.0000  4 P 2.19
Li 0.5000 0.5000 0.5000  4 Cl 3.10
Cl 0.0000 0.0000 0.5000  2 Si 3.02, 4 Li 3.10

Symmetry = P4/mmm (123)
Relative energy among the computed polymorphs = 0.00 eV per formula unit


Entry 9:
Entry from Alexandria: a relaxed structure of LiMgP2Pd5 (GGA-PBE).

Lattice parameters (Å, degrees): 4.0850 4.0850 8.3750 90.00 90.00 90.00
With the nearest neighbours (Å) after each atom.
Element x y z (fractional)
Li 0.0000 0.0000 0.0000  8 Pd 3.01, 8 P 3.08
Mg 0.0000 0.0000 0.5000  12 Pd 2.85-2.89
P 0.5000 0.5000 0.1272  1 P 2.13, 4 Pd 2.34
P 0.5000 0.5000 0.8728  1 P 2.13, 4 Pd 2.34
Pd 0.0000 0.5000 0.2634  2 P 2.34
Pd 0.5000 0.0000 0.2634  2 P 2.34
Pd 0.0000 0.5000 0.7366  2 P 2.34
Pd 0.5000 0.0000 0.7366  2 P 2.34
Pd 0.5000 0.5000 0.5000  8 Pd 2.85, 4 Mg 2.89, 2 P 3.12

Symmetry = P4/mmm (123)
ΔH_f (0 K) = -0.6456 eV/atom


Entry 10:
Entry from Alexandria: a relaxed structure of CoReCl2 (GGA-PBE).

Lattice parameters (Å, degrees): 4.4694 4.4694 4.4694 60.00 60.00 60.00
With the nearest neighbours (Å) after each atom.
Element x y z (fractional)
Re 0.2500 0.2500 0.2500  4 Co 2.74, 4 Cl 2.74
Co 0.5000 0.5000 0.5000  4 Cl 2.74, 4 Re 2.74
Cl 0.0000 0.0000 0.0000  4 Cl 2.74, 4 Re 2.74
Cl 0.7500 0.7500 0.7500  4 Co 2.74, 4 Cl 2.74

Symmetry = F-43m (216)
Relative energy among the computed polymorphs = 4.74 eV per formula unit


Entry 11:
Entry from Alexandria: a relaxed structure of Ba2Hg3Pt (GGA-PBE).

Lattice parameters (Å, degrees): 6.6695 6.6695 9.9879 112.93 112.93 80.40
With the nearest neighbours (Å) after each atom.
Element x y z (fractional)
Ba 0.7500 0.2500 0.5000  8 Hg 3.54-3.57, 4 Pt 3.67
Ba 0.7453 0.2547 0.0000  2 Pt 3.48, 10 Hg 3.59-3.72
Ba 0.2500 0.7500 0.5000  8 Hg 3.54-3.57, 4 Pt 3.67
Ba 0.2547 0.7453 0.0000  2 Pt 3.48, 10 Hg 3.59-3.72
Hg 0.8316 0.8316 0.1732  1 Pt 2.81, 2 Hg 2.98-3.01
Hg 0.6584 0.6584 0.8268  1 Pt 2.81, 2 Hg 2.98-3.01
Hg 0.1684 0.1684 0.8268  1 Pt 2.81, 2 Hg 2.98-3.01
Hg 0.3416 0.3416 0.1732  1 Pt 2.81, 2 Hg 2.98-3.01
Hg 0.1751 0.1751 0.3502  1 Pt 2.81, 2 Hg 3.01
Hg 0.8249 0.8249 0.6498  1 Pt 2.81, 2 Hg 3.01
Pt 0.6612 0.6612 0.3223  3 Hg 2.81
Pt 0.3388 0.3388 0.6777  3 Hg 2.81

Symmetry = Fmmm (69)
ΔH_f (0 K) = -0.5363 eV/atom


Entry 12:
Entry from Alexandria: a relaxed structure of Zn2RhSe (GGA-PBE).

Lattice parameters (Å, degrees): 3.3614 3.3907 5.4877 90.00 90.00 90.00
With the nearest neighbours (Å) after each atom.
Element x y z (fractional)
Rh 0.5000 0.5000 0.2500  8 Zn 2.71, 2 Se 2.74
Se 0.5000 0.5000 0.7500  2 Rh 2.74, 8 Zn 2.80
Zn 0.0000 0.0000 0.0176  1 Zn 2.55, 4 Rh 2.71, 4 Se 2.80
Zn 0.0000 0.0000 0.4824  1 Zn 2.55, 4 Rh 2.71, 4 Se 2.80

Symmetry = Pmmm (47)


Entry 13:
Entry from Alexandria: a relaxed structure of Tm12ScNi6 (GGA-PBE).

Lattice parameters (Å, degrees): 8.3533 8.3533 8.3533 109.47 109.47 109.47
With the nearest neighbours (Å) after each atom.
Element x y z (fractional)
Tm 0.3066 0.1221 0.8155  3 Ni 2.62-2.84
Tm 0.3066 0.4911 0.1845  3 Ni 2.62-2.84
Tm 0.6934 0.5089 0.8155  3 Ni 2.62-2.84
Tm 0.6934 0.8779 0.1845  3 Ni 2.62-2.84
Tm 0.1221 0.8155 0.3066  3 Ni 2.62-2.84
Tm 0.4911 0.1845 0.3066  3 Ni 2.62-2.84
Tm 0.5089 0.8155 0.6934  3 Ni 2.62-2.84
Tm 0.8779 0.1845 0.6934  3 Ni 2.62-2.84
Tm 0.8155 0.3066 0.1221  3 Ni 2.62-2.84
Tm 0.1845 0.3066 0.4911  3 Ni 2.62-2.84
Tm 0.8155 0.6934 0.5089  3 Ni 2.62-2.84
Tm 0.1845 0.6934 0.8779  3 Ni 2.62-2.84
Sc 0.0000 0.0000 0.0000  12 Tm 3.45
Ni 0.3758 0.5000 0.8758  1 Ni 2.40, 2 Tm 2.62
Ni 0.6242 0.5000 0.1242  1 Ni 2.40, 2 Tm 2.62
Ni 0.5000 0.8758 0.3758  1 Ni 2.40, 2 Tm 2.62
Ni 0.5000 0.1242 0.6242  1 Ni 2.40, 2 Tm 2.62
Ni 0.8758 0.3758 0.5000  1 Ni 2.40, 2 Tm 2.62
Ni 0.1242 0.6242 0.5000  1 Ni 2.40, 2 Tm 2.62

Symmetry = Im-3 (204)
ΔH_f (0 K) = -0.2692 eV/atom


Entry 14:
Entry from Alexandria: a relaxed structure of CaCe2SmTe4 (GGA-PBE).

Lattice parameters (Å, degrees): 4.4505 7.8363 7.7455 70.92 90.00 90.00
With the nearest neighbours (Å) after each atom.
Element x y z (fractional)
Ca 0.5000 0.5000 0.0000  6 Te 3.14
Ce 0.0000 0.0000 0.0000  6 Te 3.19
Ce 0.5000 0.0000 0.5000  6 Te 3.20
Sm 0.0000 0.5000 0.5000  6 Te 3.15
Te 0.0000 0.7436 0.7531  2 Ca 3.14, 1 Sm 3.15, 3 Ce 3.19-3.20
Te 0.0000 0.2564 0.2469  2 Ca 3.14, 1 Sm 3.15, 3 Ce 3.19-3.20
Te 0.5000 0.7447 0.2504  1 Ca 3.14, 2 Sm 3.15, 3 Ce 3.19-3.20
Te 0.5000 0.2553 0.7496  1 Ca 3.14, 2 Sm 3.15, 3 Ce 3.19-3.20

Symmetry = P2/m (10)


Entry 15:
Entry from Alexandria: a relaxed structure of SrLiSn (GGA-PBE).

Lattice parameters (Å, degrees): 5.0363 8.6820 15.6405 90.00 90.00 90.00
With the nearest neighbours (Å) after each atom.
Element x y z (fractional)
Sr 0.5000 0.7798 0.7484  6 Li 3.34-3.59, 6 Sn 3.48-3.64
Sr 0.0000 0.2955 0.5000  6 Li 3.51-3.54, 6 Sn 3.53-3.61
Sr 0.5000 0.7135 0.5000  6 Sn 3.42-3.46, 6 Li 3.65-3.72
Sr 0.0000 0.2865 0.0000  6 Sn 3.42-3.46, 6 Li 3.65-3.72
Sr 0.0000 0.2202 0.7516  6 Li 3.34-3.59, 6 Sn 3.48-3.64
Sr 0.0000 0.2202 0.2484  6 Li 3.34-3.59, 6 Sn 3.48-3.64
Sr 0.5000 0.7045 0.0000  6 Li 3.51-3.54, 6 Sn 3.53-3.61
Sr 0.5000 0.7798 0.2516  6 Li 3.34-3.59, 6 Sn 3.48-3.64
Li 0.0000 0.9122 0.1058  3 Sn 2.91
Li 0.0000 0.9122 0.8942  3 Sn 2.91
Li 0.5000 0.4159 0.8405  4 Sn 2.92-3.09
Li 0.0000 0.5841 0.3405  4 Sn 2.92-3.09
Li 0.5000 0.4159 0.1595  4 Sn 2.92-3.09
Li 0.5000 0.0878 0.3942  3 Sn 2.91
Li 0.5000 0.0878 0.6058  3 Sn 2.91
Li 0.0000 0.5841 0.6595  4 Sn 2.92-3.09
Sn 0.0000 0.9202 0.5992  3 Li 2.91-3.07, 1 Sn 3.10
Sn 0.0000 0.5840 0.8570  4 Li 2.91-3.09
Sn 0.5000 0.4160 0.3570  4 Li 2.91-3.09
Sn 0.0000 0.5840 0.1430  4 Li 2.91-3.09
Sn 0.5000 0.4160 0.6430  4 Li 2.91-3.09
Sn 0.0000 0.9202 0.4008  3 Li 2.91-3.07, 1 Sn 3.10
Sn 0.5000 0.0798 0.0992  3 Li 2.91-3.07, 1 Sn 3.10
Sn 0.5000 0.0798 0.9008  3 Li 2.91-3.07, 1 Sn 3.10

Symmetry = Pmmn (59)
ΔH_f (0 K) = -0.5438 eV/atom


Entry 16:
Entry from Alexandria: a relaxed structure of LiSnSbTe3 (GGA-PBE).

Lattice parameters (Å, degrees): 4.3369 9.0446 9.6327 100.30 90.00 90.00
With the nearest neighbours (Å) after each atom.
Element x y z (fractional)
Li 0.2500 0.0756 0.5925  4 Te 2.79-2.82, 2 Li 2.98
Li 0.7500 0.9244 0.4075  4 Te 2.79-2.82, 2 Li 2.98
Sn 0.2500 0.1978 0.2647  6 Te 3.18-3.55, 1 Li 3.53
Sn 0.7500 0.8022 0.7353  6 Te 3.18-3.55, 1 Li 3.53
Sb 0.2500 0.6778 0.1377  5 Te 2.97-3.23
Sb 0.7500 0.3222 0.8623  5 Te 2.97-3.23
Te 0.7500 0.9007 0.1152  1 Li 2.79, 2 Sb 2.99
Te 0.2500 0.0993 0.8848  1 Li 2.79, 2 Sb 2.99
Te 0.2500 0.7635 0.4906  3 Li 2.81-2.82
Te 0.7500 0.2365 0.5094  3 Li 2.81-2.82
Te 0.7500 0.4228 0.1730  3 Sb 2.97-3.23, 2 Sn 3.20
Te 0.2500 0.5772 0.8270  3 Sb 2.97-3.23, 2 Sn 3.20

Symmetry = P2_1/m (11)


Entry 17:
Entry from Alexandria: a relaxed structure of Cr2TcMo (GGA-PBE).

Lattice parameters (Å, degrees): 6.7455 6.7455 5.4071 51.41 51.41 90.00
With the nearest neighbours (Å) after each atom.
Element x y z (fractional)
Cr 0.6322 0.1250 0.2500  2 Tc 2.44, 2 Mo 2.50, 2 Cr 2.55
Cr 0.1178 0.6250 0.2500  2 Tc 2.44, 2 Mo 2.50, 2 Cr 2.55
Cr 0.3750 0.3678 0.7500  2 Tc 2.44, 2 Mo 2.50, 2 Cr 2.55
Cr 0.8750 0.8822 0.7500  2 Tc 2.44, 2 Mo 2.50, 2 Cr 2.55
Mo 0.5000 0.5000 0.0000  4 Cr 2.50, 2 Tc 2.55
Mo 0.2500 0.7500 0.5000  4 Cr 2.50, 2 Tc 2.55
Tc 0.0000 0.0000 0.0000  4 Cr 2.44, 2 Mo 2.55
Tc 0.7500 0.2500 0.5000  4 Cr 2.44, 2 Mo 2.55

Symmetry = I-42d (122)
Relative energy among the computed polymorphs = 2.81 eV per formula unit
ΔH_f (0 K) = 0.7597 eV/atom


Entry 18:
Entry from Alexandria: a relaxed structure of LiY4 (GGA-PBE).

Lattice parameters (Å, degrees): 5.4092 5.4092 5.4092 90.00 90.00 90.00
With the nearest neighbours (Å) after each atom.
Element x y z (fractional)
Y 0.0000 0.0000 0.0000  12 Y 3.82
Y 0.5000 0.0000 0.5000  2 Li 2.70
Y 0.0000 0.5000 0.5000  2 Li 2.70
Y 0.5000 0.5000 0.0000  2 Li 2.70
Li 0.5000 0.5000 0.5000  6 Y 2.70

Symmetry = Pm-3m (221)
Relative energy among the computed polymorphs = 0.00 eV per formula unit
ΔH_f (0 K) = 0.4067 eV/atom


Entry 19:
Entry from Alexandria: a relaxed structure of ZnAg2PdI (GGA-PBE).

Lattice parameters (Å, degrees): 5.2408 4.7905 5.2408 90.00 90.00 90.00
With the nearest neighbours (Å) after each atom.
Element x y z (fractional)
I 0.5000 0.5000 0.5000  8 Ag 3.55, 4 Zn 3.71
Zn 0.0000 0.5000 0.0000  2 Pd 2.40
Pd 0.0000 0.0000 0.0000  2 Zn 2.40, 4 Ag 2.62
Ag 0.0000 0.0000 0.5000  2 Pd 2.62
Ag 0.5000 0.0000 0.0000  2 Pd 2.62

Symmetry = P4/mmm (123)


Entry 20:
Entry from Alexandria: a relaxed structure of Nd3Y12Tm (GGA-PBE).

Lattice parameters (Å, degrees): 5.0719 5.0719 20.2979 90.00 90.00 90.00
With the nearest neighbours (Å) after each atom.
Element x y z (fractional)
Nd 0.0000 0.0000 0.2492  12 Y 3.59-3.61
Nd 0.0000 0.0000 0.5000  12 Y 3.59-3.60
Nd 0.0000 0.0000 0.7508  12 Y 3.59-3.61
Y 0.5000 0.5000 0.0000  8 Y 3.56, 4 Tm 3.59
Y 0.5000 0.5000 0.2483  4 Nd 3.59, 8 Y 3.59-3.60
Y 0.5000 0.5000 0.5000  4 Nd 3.59, 8 Y 3.60
Y 0.5000 0.5000 0.7517  4 Nd 3.59, 8 Y 3.59-3.60
Y 0.5000 0.0000 0.1229  2 Tm 3.56, 8 Y 3.56-3.59, 2 Nd 3.61
Y 0.5000 0.0000 0.3743  8 Y 3.59-3.60, 4 Nd 3.59-3.60
Y 0.5000 0.0000 0.6257  8 Y 3.59-3.60, 4 Nd 3.59-3.60
Y 0.5000 0.0000 0.8771  2 Tm 3.56, 8 Y 3.56-3.59, 2 Nd 3.61
Y 0.0000 0.5000 0.1229  8 Y 3.56-3.59, 2 Tm 3.56, 2 Nd 3.61
Y 0.0000 0.5000 0.3743  8 Y 3.59-3.60, 4 Nd 3.59-3.60
Y 0.0000 0.5000 0.6257  8 Y 3.59-3.60, 4 Nd 3.59-3.60
Y 0.0000 0.5000 0.8771  2 Tm 3.56, 8 Y 3.56-3.59, 2 Nd 3.61
Tm 0.0000 0.0000 0.0000  12 Y 3.56-3.59

Symmetry = P4/mmm (123)
ΔH_f (0 K) = 0.0231 eV/atom


Number 1: E_tot -5.949 eV/atom. Number 2: E_tot -1.976 eV/atom. Number 3: E_tot -3.389 eV/atom. Number 4: E_tot -2.371 eV/atom. Number 5: E_tot -2.391 eV/atom. Number 6: E_tot -5.682 eV/atom. Number 7: E_tot -7.772 eV/atom. Number 8: E_tot -3.867 eV/atom. Number 9: E_tot -5.122 eV/atom. Number 10: E_tot -4.534 eV/atom. Number 11: E_tot -2.335 eV/atom. Number 12: E_tot -3.509 eV/atom. Number 13: E_tot -5.252 eV/atom. Number 14: E_tot -5.314 eV/atom. Number 15: E_tot -3.077 eV/atom. Number 16: E_tot -3.577 eV/atom. Number 17: E_tot -9.351 eV/atom. Number 18: E_tot -5.147 eV/atom. Number 19: E_tot -2.413 eV/atom. Number 20: E_tot -5.998 eV/atom.